The following is a PBE calculation of a geometry-optimized VMo2Pd structure, from the Alexandria database.

POSCAR file:
```
VMo2Pd
1.0
-2.843 2.181 -2.180
-2.501 -2.824 0.436
-1.241 1.595 3.215
Mo V Pd
2 1 1
direct
0.000 0.500 0.000
0.000 0.000 0.500
0.500 0.500 0.500
0.500 0.000 0.000
```

The value obtained for the total moment is 0.0 μB per formula unit. As for the energy above the most stable polymorph in this dataset: 0 meV per atom. Its space-group type is P4/mmm (123). The density comes out at 9.6 g/cm3. For the formation energy, the calculation gives 59 meV/atom. The value obtained for the volume is 60.5 Å³ per cell.